(1)
Entry from Alexandria via LeMat-Bulk: HfAl3Pd after structural relaxation (PBE).

Properties
energy above the lowest structure with this stoichiometry = 7.93 eV per formula unit
total DFT energy (no corrections) = -4.110 eV per atom
energy relative to the elements = 1.16 eV per atom
SG = Pm-3m (221)

abc: 5.1194 5.1194 5.1194
angles: 90.00 90.00 90.00
Last column: nearest neighbours and their distance in Å.
Atoms (fractional coordinates):
Hf (0.0000, 0.0000, 0.0000)  6 Al 2.56
Al (0.0000, 0.0000, 0.5000)  2 Hf 2.56
Al (0.0000, 0.5000, 0.0000)  2 Hf 2.56
Al (0.5000, 0.0000, 0.0000)  2 Hf 2.56
Pd (0.5000, 0.5000, 0.5000)  12 Al 3.62

(2)
Entry from Alexandria via LeMat-Bulk: HfAl6Pd12 after structural relaxation (PBE).

Properties
total DFT energy (no corrections) = -5.524 eV per atom
energy relative to the elements = -0.54 eV per atom
SG = R-3 (148)

abc: 7.0548 7.0548 7.0548
angles: 100.48 100.48 100.48
Last column: nearest neighbours and their distance in Å.
Atoms (fractional coordinates):
Hf (0.0000, 0.0000, 0.0000)  6 Pd 2.64
Al (0.1646, 0.2713, 0.5080)  6 Pd 2.45-2.67
Al (0.2713, 0.5080, 0.1646)  6 Pd 2.45-2.67
Al (0.4920, 0.8354, 0.7287)  6 Pd 2.45-2.67
Al (0.5080, 0.1646, 0.2713)  6 Pd 2.45-2.67
Al (0.7287, 0.4920, 0.8354)  6 Pd 2.45-2.67
Al (0.8354, 0.7287, 0.4920)  6 Pd 2.45-2.67
Pd (0.0185, 0.3249, 0.8631)  2 Al 2.48-2.53, 1 Hf 2.64, 2 Pd 2.75-2.76
Pd (0.1369, 0.9815, 0.6751)  2 Al 2.48-2.53, 1 Hf 2.64, 2 Pd 2.75-2.76
Pd (0.1775, 0.6171, 0.4905)  4 Al 2.45-2.67
Pd (0.3249, 0.8631, 0.0185)  2 Al 2.48-2.53, 1 Hf 2.64, 2 Pd 2.75-2.76
Pd (0.3829, 0.5095, 0.8225)  4 Al 2.45-2.67
Pd (0.4905, 0.1775, 0.6171)  4 Al 2.45-2.67
Pd (0.5095, 0.8225, 0.3829)  4 Al 2.45-2.67
Pd (0.6171, 0.4905, 0.1775)  4 Al 2.45-2.67
Pd (0.6751, 0.1369, 0.9815)  2 Al 2.48-2.53, 1 Hf 2.64, 2 Pd 2.75-2.76
Pd (0.8225, 0.3829, 0.5095)  4 Al 2.45-2.67
Pd (0.8631, 0.0185, 0.3249)  2 Al 2.48-2.53, 1 Hf 2.64, 2 Pd 2.75-2.76
Pd (0.9815, 0.6751, 0.1369)  2 Al 2.48-2.53, 1 Hf 2.64, 2 Pd 2.75-2.76

- What is the formula in the second record?
  HfAl6Pd12

- Number 2 is which compound?
  HfAl6Pd12